[1]
Sr2EuNbCu2O8: relaxed, PBEsol.

Calculated values
Size of the total moment: 12.13 μB/cell
Raw formation energy: -2249 meV/atom

a = 5.4416 Å, b = 5.4416 Å, c = 12.2354 Å
α = 102.85°, β = 102.85°, γ = 90.00°
Last column: magnetic moment on the atom in μB.
Fractional coordinates of all 28 atoms:
Sr: 0.3994 0.8994 0.7989  0.00
Sr: 0.6006 0.1006 0.2011  0.00
Sr: 0.8994 0.3994 0.7989  0.00
Sr: 0.1006 0.6006 0.2011  0.00
Eu: 0.7500 0.2500 0.5000  6.29
Eu: 0.2500 0.7500 0.5000  6.29
Nb: 0.5000 0.5000 0.0000  0.00
Nb: 0.0000 0.0000 0.0000  0.00
Cu: 0.3207 0.3207 0.6414  -0.04
Cu: 0.1793 0.1793 0.3586  -0.04
Cu: 0.6793 0.6793 0.3586  -0.04
Cu: 0.8207 0.8207 0.6414  -0.04
O: 0.3233 0.1767 0.0000  0.00
O: 0.1767 0.6767 0.0000  0.00
O: 0.8233 0.3233 0.0000  0.00
O: 0.6767 0.8233 0.0000  0.00
O: 0.0642 0.0668 0.6310  -0.05
O: 0.9358 0.9332 0.3690  -0.05
O: 0.4332 0.4358 0.3690  -0.05
O: 0.4358 0.9358 0.3690  -0.05
O: 0.9332 0.4332 0.3690  -0.05
O: 0.0668 0.5668 0.6310  -0.05
O: 0.5642 0.0642 0.6310  -0.05
O: 0.5668 0.5642 0.6310  -0.05
O: 0.9152 0.9152 0.8303  -0.01
O: 0.5848 0.5848 0.1697  -0.01
O: 0.0848 0.0848 0.1697  -0.01
O: 0.4152 0.4152 0.8303  -0.01

***

[2]
EuCu2O4: relaxed, PBEsol.

Calculated values
Size of the total moment: 12.64 μB/cell
Raw formation energy: -1466 meV/atom

a = 5.7194 Å, b = 6.2706 Å, c = 5.7194 Å
α = 62.87°, β = 90.00°, γ = 117.13°
Last column: magnetic moment on the atom in μB.
Fractional coordinates of all 14 atoms:
Eu: 0.0000 0.0000 0.0000  6.33
Eu: 0.7500 0.5000 0.7500  6.33
Cu: 0.3750 0.7500 0.8750  0.02
Cu: 0.3750 0.7500 0.3750  0.02
Cu: 0.3750 0.2500 0.3750  0.02
Cu: 0.8750 0.2500 0.3750  0.02
O: 0.7303 0.9008 0.4048  -0.03
O: 0.1705 0.9008 0.6944  -0.03
O: 0.0197 0.5992 0.3452  -0.03
O: 0.5795 0.5992 0.0556  -0.03
O: 0.0556 0.4008 0.0197  -0.03
O: 0.3452 0.4008 0.5795  -0.03
O: 0.4048 0.0992 0.1705  -0.03
O: 0.6944 0.0992 0.7303  -0.03

***

[3]
Eu2TiCuO6: relaxed, PBEsol.

Calculated values
Size of the total moment: 27.53 μB/cell
Raw formation energy: -2489 meV/atom

a = 5.3996 Å, b = 5.5841 Å, c = 7.5689 Å
α = 90.00°, β = 89.89°, γ = 90.00°
Last column: magnetic moment on the atom in μB.
Fractional coordinates of all 20 atoms:
Eu: 0.5109 0.0547 0.7504  6.32
Eu: 0.9891 0.5547 0.7496  6.32
Eu: 0.4891 0.9453 0.2496  6.32
Eu: 0.0109 0.4453 0.2504  6.32
Ti: 0.5000 0.5000 0.5000  0.05
Ti: 0.0000 0.0000 0.0000  0.05
Cu: 0.5000 0.5000 0.0000  0.64
Cu: 0.0000 0.0000 0.5000  0.64
O: 0.7081 0.8047 0.9570  0.03
O: 0.7919 0.3047 0.5430  0.03
O: 0.3047 0.2096 0.4555  0.05
O: 0.1953 0.7096 0.0445  0.05
O: 0.2919 0.1953 0.0430  0.03
O: 0.2081 0.6953 0.4570  0.03
O: 0.6953 0.7904 0.5445  0.05
O: 0.8047 0.2904 0.9555  0.05
O: 0.4153 0.4764 0.7497  0.06
O: 0.0847 0.9764 0.7503  0.06
O: 0.5847 0.5236 0.2503  0.06
O: 0.9153 0.0236 0.2497  0.06

***

[4]
EuCuP: relaxed, PBEsol.

Calculated values
Formation energy: -0.9418 eV/atom
Size of the total moment: 14.02 μB/cell

a = 3.9907 Å, b = 3.9907 Å, c = 8.0669 Å
α = 90.00°, β = 90.00°, γ = 120.00°
Last column: magnetic moment on the atom in μB.
Fractional coordinates of all 6 atoms:
Eu: 0.0000 0.0000 0.0000  6.76
Eu: 0.0000 0.0000 0.5000  6.76
P: 0.6667 0.3333 0.7500  -0.06
P: 0.3333 0.6667 0.2500  -0.06
Cu: 0.6667 0.3333 0.2500  -0.01
Cu: 0.3333 0.6667 0.7500  -0.01

***

[5]
Eu2CuS3: relaxed, PBEsol.

Calculated values
Size of the total moment: 51.99 μB/cell
Raw formation energy: -1662 meV/atom

a = 3.9123 Å, b = 7.9826 Å, c = 15.3484 Å
α = 90.00°, β = 90.00°, γ = 90.00°
Last column: magnetic moment on the atom in μB.
Fractional coordinates of all 24 atoms:
Eu: 0.7500 0.0854 0.7841  6.59
Eu: 0.7500 0.5854 0.7159  6.59
Eu: 0.2500 0.9146 0.2159  6.59
Eu: 0.2500 0.4146 0.2841  6.59
Eu: 0.7500 0.2563 0.0366  6.59
Eu: 0.7500 0.7563 0.4634  6.59
Eu: 0.2500 0.7437 0.9634  6.59
Eu: 0.2500 0.2437 0.5366  6.59
Cu: 0.7500 0.6220 0.1334  -0.09
Cu: 0.7500 0.1220 0.3666  -0.09
Cu: 0.2500 0.3780 0.8666  -0.09
Cu: 0.2500 0.8780 0.6334  -0.09
S: 0.7500 0.8830 0.0721  -0.10
S: 0.7500 0.3830 0.4279  -0.10
S: 0.2500 0.1170 0.9279  -0.10
S: 0.2500 0.6170 0.5721  -0.10
S: 0.7500 0.6820 0.2794  -0.09
S: 0.7500 0.1820 0.2206  -0.09
S: 0.2500 0.3180 0.7206  -0.09
S: 0.2500 0.8180 0.7794  -0.09
S: 0.7500 0.0124 0.5997  -0.08
S: 0.7500 0.5124 0.9003  -0.08
S: 0.2500 0.9876 0.4003  -0.08
S: 0.2500 0.4876 0.0997  -0.08

***

[6]
EuCu2SnS4: relaxed, PBEsol.

Calculated values
Size of the total moment: 13.87 μB/cell
Raw formation energy: -796 meV/atom

a = 5.9079 Å, b = 5.9079 Å, c = 10.3281 Å
α = 90.00°, β = 90.00°, γ = 115.15°
Last column: magnetic moment on the atom in μB.
Fractional coordinates of all 16 atoms:
Eu: 0.4641 0.4641 0.5000  6.75
Eu: 0.4641 0.4641 0.0000  6.75
Cu: 0.8576 0.2938 0.8738  0.00
Cu: 0.2938 0.8576 0.3738  0.00
Cu: 0.2938 0.8576 0.1262  0.00
Cu: 0.8576 0.2938 0.6262  0.00
Sn: 0.8881 0.2082 0.2500  0.03
Sn: 0.2082 0.8881 0.7500  0.03
S: 0.4979 0.9659 0.9331  -0.01
S: 0.9659 0.4979 0.0669  -0.01
S: 0.7684 0.5866 0.7500  0.00
S: 0.9659 0.4979 0.4331  -0.01
S: 0.1799 0.2933 0.7500  -0.01
S: 0.4979 0.9659 0.5669  -0.01
S: 0.5866 0.7684 0.2500  0.00
S: 0.2933 0.1799 0.2500  -0.01

***

[7]
EuCuSb: relaxed, PBEsol.

Calculated values
Size of the total moment: 14.02 μB/cell
Raw formation energy: -732 meV/atom

a = 4.4293 Å, b = 4.4293 Å, c = 8.2122 Å
α = 90.00°, β = 90.00°, γ = 120.00°
Last column: magnetic moment on the atom in μB.
Fractional coordinates of all 6 atoms:
Eu: 0.0000 0.0000 0.0000  6.79
Eu: 0.0000 0.0000 0.5000  6.79
Sb: 0.6667 0.3333 0.7500  -0.05
Sb: 0.3333 0.6667 0.2500  -0.05
Cu: 0.6667 0.3333 0.2500  -0.01
Cu: 0.3333 0.6667 0.7500  -0.01

***

[8]
Eu3Cu8Sn4: relaxed, PBEsol.

Calculated values
Formation energy: -0.3380 eV/atom
Size of the total moment: 41.58 μB/cell

a = 7.6700 Å, b = 9.0711 Å, c = 9.0711 Å
α = 120.00°, β = 90.00°, γ = 90.00°
Last column: magnetic moment on the atom in μB.
Fractional coordinates of all 30 atoms:
Eu: 0.9986 0.5261 0.4739  -6.74
Eu: 0.4986 0.4739 0.9478  -6.74
Eu: 0.4986 0.0522 0.5261  -6.74
Eu: 0.9986 0.9478 0.4739  -6.74
Eu: 0.9986 0.5261 0.0522  -6.74
Eu: 0.4986 0.4739 0.5261  -6.74
Cu: 0.9788 0.2005 0.1002  0.00
Cu: 0.7265 0.0000 0.0000  0.00
Cu: 0.2265 0.0000 0.0000  0.00
Cu: 0.3253 0.6667 0.3333  0.01
Cu: 0.8253 0.3333 0.6667  0.01
Cu: 0.4788 0.1002 0.8998  0.00
Cu: 0.6719 0.8374 0.1626  0.00
Cu: 0.1719 0.1626 0.3252  0.00
Cu: 0.1719 0.6748 0.8374  0.00
Cu: 0.6719 0.3252 0.1626  0.00
Cu: 0.6719 0.8374 0.6748  0.00
Cu: 0.9788 0.8998 0.7995  0.00
Cu: 0.9788 0.8998 0.1002  0.00
Cu: 0.4788 0.1002 0.2005  0.00
Cu: 0.4788 0.7995 0.8998  0.00
Cu: 0.1719 0.1626 0.8374  0.00
Sn: 0.7953 0.1680 0.3360  0.02
Sn: 0.7953 0.6640 0.8320  0.02
Sn: 0.2953 0.3360 0.1680  0.02
Sn: 0.2953 0.8320 0.6640  0.02
Sn: 0.7953 0.1680 0.8320  0.02
Sn: 0.1817 0.3333 0.6667  0.02
Sn: 0.2953 0.8320 0.1680  0.02
Sn: 0.6817 0.6667 0.3333  0.02

***

What E values result from the calculations? In sequence: -214.419, -100.979, -180.333, -47.029, -194.332, -94.796, -43.302, -176.940 eV/cell.